The following is a DFT calculation (PBE) of a relaxed structure of MnSbBr2.

Structure (CIF):
```
data_MnSbBr2
_chemical_formula_sum 'Mn1 Sb1 Br2'
_cell_length_a 3.2896
_cell_length_b 3.2896
_cell_length_c 11.9664
_cell_angle_alpha 90.00
_cell_angle_beta 90.00
_cell_angle_gamma 90.00
_symmetry_space_group_name_H-M 'P 4/m m m'
_symmetry_Int_Tables_number 123
_symmetry_space_group_name_Hall '-P 4 2'
loop_
_atom_site_label
_atom_site_type_symbol
_atom_site_fract_x
_atom_site_fract_y
_atom_site_fract_z
_atom_site_occupancy
Mn1 Mn 0.0000 0.0000 0.0000 1
Sb1 Sb 0.0000 0.0000 0.5000 1
Br1 Br 0.5000 0.5000 0.1382 1
```

Values from the calculation:
The calculation puts the polymorph energy (0 for the lowest one) at 198 meV per atom. As for the energy: -4.2144 eV/atom.

=====

The following is a DFT calculation (PBE) of a relaxed structure of MnSb2Br.

Structure (CIF):
```
data_MnSb2Br
_chemical_formula_sum 'Mn1 Sb2 Br1'
_cell_length_a 3.5590
_cell_length_b 3.5590
_cell_length_c 8.0170
_cell_angle_alpha 90.00
_cell_angle_beta 90.00
_cell_angle_gamma 90.00
_symmetry_space_group_name_H-M 'P 4 m m'
_symmetry_Int_Tables_number 99
loop_
_symmetry_equiv_pos_as_xyz
'x,y,z'
'-y,x,z'
'-x,-y,z'
'y,-x,z'
'-x,y,z'
'y,x,z'
'x,-y,z'
'-y,-x,z'
loop_
_atom_site_label
_atom_site_type_symbol
_atom_site_fract_x
_atom_site_fract_y
_atom_site_fract_z
_atom_site_occupancy
Mn1 Mn 0.0000 0.0000 0.0000 1
Sb1 Sb 0.0000 0.0000 0.4038 1
Sb2 Sb 0.5000 0.5000 0.1706 1
Br1 Br 0.5000 0.5000 0.7781 1
```

Values from the calculation:
The calculation puts the polymorph energy (0 for the lowest one) at 219 meV per atom. As for the energy: -4.6471 eV/atom.

=====

The following is a DFT calculation (PBE) of a relaxed structure of Sr2MnSbBr.

Structure (CIF):
```
data_Sr2MnSbBr
_chemical_formula_sum 'Sr2 Mn1 Sb1 Br1'
_cell_length_a 6.0229
_cell_length_b 6.0229
_cell_length_c 4.8271
_cell_angle_alpha 90.00
_cell_angle_beta 90.00
_cell_angle_gamma 90.00
_symmetry_space_group_name_H-M 'P 4/m m m'
_symmetry_Int_Tables_number 123
_symmetry_space_group_name_Hall '-P 4 2'
loop_
_atom_site_label
_atom_site_type_symbol
_atom_site_fract_x
_atom_site_fract_y
_atom_site_fract_z
_atom_site_occupancy
Sr1 Sr 0.0000 0.5000 0.0000 1
Mn1 Mn 0.0000 0.0000 0.0000 1
Sb1 Sb 0.0000 0.0000 0.5000 1
Br1 Br 0.5000 0.5000 0.5000 1
```

Values from the calculation:
As for the energy: -4.1310 eV/atom.

=====

The following is a DFT calculation (PBE) of a relaxed structure of MnSbTe2Br.

Structure (CIF):
```
data_MnSbTe2Br
_chemical_formula_sum 'Mn1 Sb1 Te2 Br1'
_cell_length_a 5.6246
_cell_length_b 5.6246
_cell_length_c 5.5109
_cell_angle_alpha 90.00
_cell_angle_beta 90.00
_cell_angle_gamma 90.00
_symmetry_space_group_name_H-M 'P 4/m m m'
_symmetry_Int_Tables_number 123
_symmetry_space_group_name_Hall '-P 4 2'
loop_
_atom_site_label
_atom_site_type_symbol
_atom_site_fract_x
_atom_site_fract_y
_atom_site_fract_z
_atom_site_occupancy
Mn1 Mn 0.0000 0.0000 0.0000 1
Sb1 Sb 0.5000 0.5000 0.0000 1
Te1 Te 0.0000 0.5000 0.5000 1
Br1 Br 0.5000 0.5000 0.5000 1
```

Values from the calculation:
The calculation puts the polymorph energy (0 for the lowest one) at 768 meV per atom. As for the energy: -3.1550 eV/atom.

=====

The following is a DFT calculation (PBE) of a relaxed structure of MnSbTe2Br.

Structure (CIF):
```
data_MnSbTe2Br
_chemical_formula_sum 'Mn1 Sb1 Te2 Br1'
_cell_length_a 4.9763
_cell_length_b 4.9763
_cell_length_c 5.3053
_cell_angle_alpha 90.00
_cell_angle_beta 90.00
_cell_angle_gamma 90.00
_symmetry_space_group_name_H-M 'P 4/m m m'
_symmetry_Int_Tables_number 123
_symmetry_space_group_name_Hall '-P 4 2'
loop_
_atom_site_label
_atom_site_type_symbol
_atom_site_fract_x
_atom_site_fract_y
_atom_site_fract_z
_atom_site_occupancy
Mn1 Mn 0.0000 0.0000 0.0000 1
Sb1 Sb 0.0000 0.0000 0.5000 1
Te1 Te 0.0000 0.5000 0.0000 1
Br1 Br 0.5000 0.5000 0.5000 1
```

Values from the calculation:
The calculation puts the polymorph energy (0 for the lowest one) at 0 meV per atom. As for the energy: -3.9225 eV/atom.

=====

The following is a DFT calculation (PBE) of a relaxed structure of TiMn2SbBr.

Structure (CIF):
```
data_TiMn2SbBr
_chemical_formula_sum 'Ti1 Mn2 Sb1 Br1'
_cell_length_a 4.5976
_cell_length_b 4.5976
_cell_length_c 4.8042
_cell_angle_alpha 90.00
_cell_angle_beta 90.00
_cell_angle_gamma 90.00
_symmetry_space_group_name_H-M 'P 4/m m m'
_symmetry_Int_Tables_number 123
_symmetry_space_group_name_Hall '-P 4 2'
loop_
_atom_site_label
_atom_site_type_symbol
_atom_site_fract_x
_atom_site_fract_y
_atom_site_fract_z
_atom_site_occupancy
Ti1 Ti 0.0000 0.0000 0.0000 1
Mn1 Mn 0.0000 0.5000 0.5000 1
Sb1 Sb 0.5000 0.5000 0.0000 1
Br1 Br 0.0000 0.0000 0.5000 1
```

Values from the calculation:
As for the energy: -5.7555 eV/atom.

=====

Number 1: formation energy from raw total energies -0.055 eV per atom. Number 2: formation energy from raw total energies 0.125 eV per atom. Number 3: formation energy from raw total energies -0.465 eV per atom. Number 4: formation energy from raw total energies 1.095 eV per atom. Number 5: formation energy from raw total energies 0.327 eV per atom. Number 6: formation energy from raw total energies 0.650 eV per atom.